# 1
Here is an optimized crystal structure of Ca2MnCr2 from Alexandria. Energies are from PBE.

Cell: 3.2190 3.2190 10.6458 Å, 81.30 81.30 90.00°
Last column: nearest neighbours and their distance in Å.
Sites, in units of the cell vectors:
Cr 0.7500 0.2500 0.5000  4 Cr 2.28
Cr 0.2500 0.7500 0.5000  4 Cr 2.28
Ca 0.3858 0.3858 0.2284  4 Ca 3.22, 4 Cr 3.25, 4 Mn 3.29
Ca 0.6142 0.6142 0.7716  4 Ca 3.22, 4 Cr 3.25, 4 Mn 3.29
Mn 0.0000 0.0000 0.0000  4 Mn 3.22, 8 Ca 3.29

Calculated values
The energy of formation from the pure elements is 0.777 eV per atom. The space group is I4/mmm. Its total moment is 2.7 Bohr magnetons per cell. For the density of states at the Fermi level, the calculation gives 4.8 states/eV/cell.

---

# 2
Here is an optimized crystal structure of La2Nd8Sn from Alexandria. Energies are from PBE.

Cell: 5.0736 8.1521 9.6752 Å, 104.30 105.20 90.00°
Last column: nearest neighbours and their distance in Å.
Sites, in units of the cell vectors:
La 0.7771 0.3677 0.5543  2 La 3.64, 10 Nd 3.64-3.75
La 0.2229 0.6323 0.4457  2 La 3.64, 10 Nd 3.64-3.75
Nd 0.4115 0.5651 0.8231  1 Sn 3.51, 8 Nd 3.54-3.78, 3 La 3.64-3.70
Nd 0.6749 0.9079 0.3498  1 Sn 3.53, 8 Nd 3.54-3.79, 3 La 3.65-3.75
Nd 0.8634 0.8242 0.7268  7 Nd 3.54-3.75, 2 Sn 3.62, 3 La 3.66-3.70
Nd 0.9583 0.2661 0.9166  9 Nd 3.54-3.77, 2 Sn 3.55, 1 La 3.68
Nd 0.1366 0.1758 0.2732  7 Nd 3.54-3.75, 2 Sn 3.62, 3 La 3.66-3.70
Nd 0.3251 0.0921 0.6502  1 Sn 3.53, 8 Nd 3.54-3.79, 3 La 3.65-3.75
Nd 0.5885 0.4349 0.1769  1 Sn 3.51, 8 Nd 3.54-3.78, 3 La 3.64-3.70
Nd 0.0417 0.7339 0.0834  9 Nd 3.54-3.77, 2 Sn 3.55, 1 La 3.68
Sn 0.5000 0.0000 0.0000  12 Nd 3.51-3.62

Calculated values
The energy of formation from the pure elements is -0.113 eV per atom. The space group is C2/m. Its total moment is 0.0 Bohr magnetons per cell. For the density of states at the Fermi level, the calculation gives 15.5 states/eV/cell.

---

# 3
Here is an optimized crystal structure of Ho2ErTm3Bi6 from Alexandria. Energies are from PBE.

Cell: 4.4396 8.8840 9.9282 Å, 102.86 102.92 90.00°
Last column: nearest neighbours and their distance in Å.
Sites, in units of the cell vectors:
Ho 0.8334 0.6672 0.6669  6 Bi 3.15
Ho 0.1666 0.3328 0.3331  6 Bi 3.15
Er 0.5000 0.0000 0.0000  6 Bi 3.14
Tm 0.5000 0.5000 0.0000  6 Bi 3.13-3.14
Tm 0.8331 0.1670 0.6663  6 Bi 3.13
Tm 0.1669 0.8330 0.3337  6 Bi 3.13
Bi 0.3332 0.9185 0.6663  3 Tm 3.13, 1 Er 3.14, 2 Ho 3.15
Bi 0.6662 0.5841 0.3324  3 Tm 3.13, 3 Ho 3.15
Bi 0.6668 0.0815 0.3337  3 Tm 3.13, 1 Er 3.14, 2 Ho 3.15
Bi 0.9994 0.2504 0.9988  3 Tm 3.13-3.14, 2 Er 3.14, 1 Ho 3.15
Bi 0.0006 0.7496 0.0012  3 Tm 3.13-3.14, 2 Er 3.14, 1 Ho 3.15
Bi 0.3338 0.4159 0.6676  3 Tm 3.13, 3 Ho 3.15

Calculated values
The energy of formation from the pure elements is -0.805 eV per atom. The space group is C2/m. Its total moment is 0.0 Bohr magnetons per cell. For the density of states at the Fermi level, the calculation gives 2.0 states/eV/cell.

---

# 4
Here is an optimized crystal structure of Sr3In3Rh from Alexandria. Energies are from PBE.

Cell: 4.2845 6.5854 16.5444 Å, 83.18 82.56 71.02°
Last column: nearest neighbours and their distance in Å.
Sites, in units of the cell vectors:
Sr 0.5166 0.3568 0.6099  2 Rh 3.27, 5 In 3.41-3.63
Sr 0.4834 0.6432 0.3901  2 Rh 3.27, 5 In 3.41-3.63
Sr 0.2554 0.2414 0.2478  2 Rh 3.21, 4 In 3.42-3.58
Sr 0.7446 0.7586 0.7522  2 Rh 3.21, 4 In 3.42-3.58
Sr 0.3827 0.3143 0.9203  7 In 3.46-3.50
Sr 0.6173 0.6857 0.0797  7 In 3.46-3.50
In 0.8206 0.8213 0.5375  3 Rh 2.73-2.85
In 0.1794 0.1787 0.4625  3 Rh 2.73-2.85
In 0.1049 0.8697 0.9204  2 In 3.10-3.18, 1 Sr 3.46
In 0.8951 0.1303 0.0796  2 In 3.10-3.18, 1 Sr 3.46
In 0.9730 0.8171 0.2368  1 Rh 2.79, 1 In 3.10
In 0.0270 0.1829 0.7632  1 Rh 2.79, 1 In 3.10
Rh 0.7909 0.0402 0.3779  4 In 2.73-2.85
Rh 0.2091 0.9598 0.6221  4 In 2.73-2.85

Calculated values
The energy of formation from the pure elements is -0.441 eV per atom. The space group is C2/m. Its total moment is 0.0 Bohr magnetons per cell. For the density of states at the Fermi level, the calculation gives 8.9 states/eV/cell.

---

# 5
Here is an optimized crystal structure of CaPrIr from Alexandria. Energies are from PBE.

Cell: 3.5434 3.5434 7.2070 Å, 104.23 104.23 90.00°
Last column: nearest neighbours and their distance in Å.
Sites, in units of the cell vectors:
Pr 0.2889 0.2889 0.5778  4 Ir 2.96
Ca 0.0391 0.0391 0.0782  4 Ir 3.08, 1 Pr 3.38
Ir 0.6720 0.6720 0.3440  4 Pr 2.96, 4 Ca 3.08

Calculated values
The energy of formation from the pure elements is -0.367 eV per atom. The space group is I4mm. Its total moment is 0.0 Bohr magnetons per cell. For the density of states at the Fermi level, the calculation gives 1.6 states/eV/cell.

---

# 6
Here is an optimized crystal structure of InFe2Ir from Alexandria. Energies are from PBE.

Cell: 8.5603 8.5603 8.5603 Å, 19.41 19.41 19.41°
Last column: nearest neighbours and their distance in Å.
Sites, in units of the cell vectors:
Fe 0.0033 0.0033 0.0033  3 Fe 2.45, 3 Ir 2.60
Fe 0.7412 0.7412 0.7412  3 Fe 2.45
In 0.4980 0.4980 0.4980  3 Fe 2.82, 3 Ir 2.87, 6 In 2.89
Ir 0.2574 0.2574 0.2574  3 Fe 2.60, 3 In 2.87, 6 Ir 2.89

Calculated values
The energy of formation from the pure elements is 0.258 eV per atom. The space group is R3m. Its total moment is 5.4 Bohr magnetons per cell. For the density of states at the Fermi level, the calculation gives 4.5 states/eV/cell.

---

# 7
Here is an optimized crystal structure of Tc2HgCl from Alexandria. Energies are from PBE.

Cell: 4.7004 4.7004 4.7004 Å, 123.29 123.29 84.39°
Last column: nearest neighbours and their distance in Å.
Sites, in units of the cell vectors:
Cl 0.5000 0.5000 0.0000  4 Hg 2.83, 8 Tc 2.83-3.16
Hg 0.7500 0.2500 0.5000  4 Cl 2.83, 8 Tc 2.83-3.16
Tc 0.0000 0.0000 0.0000  4 Hg 2.83, 4 Tc 2.83, 4 Cl 3.16
Tc 0.2500 0.7500 0.5000  4 Cl 2.83, 4 Tc 2.83, 4 Hg 3.16

Calculated values
The formation energy without anion corrections is 1011 meV/atom. The space group is I-4m2. Its total moment is 0.9 Bohr magnetons per cell. For the density of states at the Fermi level, the calculation gives 2.8 states/eV/cell.

---

# 8
Here is an optimized crystal structure of Ce3GeS2 from Alexandria. Energies are from PBE.

Cell: 6.7482 7.3894 7.3894 Å, 60.09 90.00 90.00°
Last column: nearest neighbours and their distance in Å.
Sites, in units of the cell vectors:
Ce 0.7500 0.8840 0.1160  1 Ge 2.83, 4 S 2.85
Ce 0.7500 0.1165 0.5003  1 Ge 2.84, 4 S 2.85
Ce 0.2500 0.5003 0.1165  1 Ge 2.84, 4 S 2.85
Ce 0.7500 0.4997 0.8835  1 Ge 2.84, 4 S 2.85
Ce 0.2500 0.8835 0.4997  1 Ge 2.84, 4 S 2.85
Ce 0.2500 0.1160 0.8840  1 Ge 2.83, 4 S 2.85
Ge 0.2500 0.4991 0.5009  3 Ce 2.83-2.84
Ge 0.7500 0.5009 0.4991  3 Ce 2.83-2.84
S 0.0000 0.1669 0.1669  6 Ce 2.85
S 0.5000 0.1669 0.1669  6 Ce 2.85
S 0.0000 0.8331 0.8331  6 Ce 2.85
S 0.5000 0.8331 0.8331  6 Ce 2.85

Calculated values
The formation energy without anion corrections is -1249 meV/atom. The space group is Cmcm. Its total moment is 7.4 Bohr magnetons per cell. For the density of states at the Fermi level, the calculation gives 35.5 states/eV/cell.

---

# 9
Here is an optimized crystal structure of Ni2WCl from Alexandria. Energies are from PBE.

Cell: 2.7926 2.8180 7.3833 Å, 90.18 90.00 90.00°
Last column: nearest neighbours and their distance in Å.
Sites, in units of the cell vectors:
Cl 0.5000 0.7500 0.7500  4 Ni 2.42
Ni 0.0000 0.7474 0.0176  2 Cl 2.42, 4 W 2.62
Ni 0.0000 0.7526 0.4824  2 Cl 2.42, 4 W 2.62
W 0.5000 0.2500 0.2500  8 Ni 2.62, 4 W 2.79-2.82

Calculated values
The formation energy without anion corrections is 148 meV/atom. The space group is P2/m. Its total moment is 0.0 Bohr magnetons per cell. For the density of states at the Fermi level, the calculation gives 2.7 states/eV/cell.

---

# 10
Here is an optimized crystal structure of NaTl2Sb2 from Alexandria. Energies are from PBE.

Cell: 4.8855 4.8855 7.9503 Å, 72.11 72.11 90.00°
Last column: nearest neighbours and their distance in Å.
Sites, in units of the cell vectors:
Sb 0.4005 0.4005 0.1991  1 Sb 2.85
Sb 0.5995 0.5995 0.8009  1 Sb 2.85
Tl 0.7500 0.2500 0.5000  4 Sb 3.26, 4 Tl 3.45
Tl 0.2500 0.7500 0.5000  4 Sb 3.26, 4 Tl 3.45
Na 0.0000 0.0000 0.0000  8 Sb 3.74

Calculated values
The formation energy without anion corrections is -40 meV/atom. The space group is I4/mmm. Its total moment is 0.0 Bohr magnetons per cell. For the density of states at the Fermi level, the calculation gives 4.2 states/eV/cell.

---

# 11
Here is an optimized crystal structure of Pm3NiCl from Alexandria. Energies are from PBE.

Cell: 3.8027 10.0306 7.1987 Å, 90.00 90.00 90.00°
Last column: nearest neighbours and their distance in Å.
Sites, in units of the cell vectors:
Pm 0.2500 0.4339 0.1875  2 Ni 2.97, 2 Cl 3.14
Pm 0.7500 0.5661 0.8125  2 Ni 2.97, 2 Cl 3.14
Pm 0.2500 0.0661 0.1875  2 Ni 2.97, 2 Cl 3.14
Pm 0.7500 0.9339 0.8125  2 Ni 2.97, 2 Cl 3.14
Pm 0.2500 0.2500 0.7400  2 Ni 2.67, 2 Cl 2.98
Pm 0.7500 0.7500 0.2600  2 Ni 2.67, 2 Cl 2.98
Ni 0.7500 0.2500 0.0012  6 Pm 2.67-2.97
Ni 0.2500 0.7500 0.9988  6 Pm 2.67-2.97
Cl 0.7500 0.2500 0.4210  6 Pm 2.98-3.14, 1 Ni 3.02
Cl 0.2500 0.7500 0.5790  6 Pm 2.98-3.14, 1 Ni 3.02

Calculated values
The formation energy without anion corrections is -578 meV/atom. The space group is Pmmn. Its total moment is 0.0 Bohr magnetons per cell. For the density of states at the Fermi level, the calculation gives 10.9 states/eV/cell.

---

# 12
Here is an optimized crystal structure of DyY2InC from Alexandria. Energies are from PBE.

Cell: 4.9309 4.9301 4.9301 Å, 90.00 90.00 90.00°
Last column: nearest neighbours and their distance in Å.
Sites, in units of the cell vectors:
Dy 0.5000 0.0000 0.0000  2 C 2.47
Y 0.0000 0.0000 0.5000  2 C 2.47
Y 0.0000 0.5000 0.0000  2 C 2.47
In 0.5000 0.5000 0.5000  4 Dy 3.49, 8 Y 3.49
C 0.0000 0.0000 0.0000  4 Y 2.47, 2 Dy 2.47

Calculated values
The energy of formation from the pure elements is -0.526 eV per atom. The space group is P4/mmm. Its total moment is 0.0 Bohr magnetons per cell. For the density of states at the Fermi level, the calculation gives 1.2 states/eV/cell.

---

Q: What is the total moment in the tenth record?
A: 0.0 Bohr magnetons per cell